Entry w
Below is a relaxed NaLiPO2 crystal, with properties calculated at the PBE level.

Properties
DOS(E_F)   3.15 states/eV per cell

a b c (Å): 3.9572 3.9572 4.1645
angles (deg): 90.00 90.00 90.00
With the nearest neighbours (Å) after each atom.
Space group P4/mmm (No. 123)
Inequivalent atoms, fractional coordinates:
Na 0.0000 0.0000 0.0000 [1 per cell]  4 P 2.80, 8 O 2.87
Li 0.5000 0.5000 0.5000 [1 per cell]  4 O 1.98, 2 P 2.08
P 0.5000 0.5000 0.0000 [1 per cell]  2 Li 2.08
O 0.0000 0.5000 0.5000 [2 per cell]  2 Li 1.98

---

Entry x
Below is a relaxed NaLiPO2 crystal, with properties calculated at the PBE level.

Properties
DOS(E_F)   5.62 states/eV per cell

a b c (Å): 4.3083 4.3083 5.2517
angles (deg): 90.00 90.00 90.00
With the nearest neighbours (Å) after each atom.
Space group P4/mmm (No. 123)
Inequivalent atoms, fractional coordinates:
Na 0.0000 0.0000 0.0000 [1 per cell]  4 O 2.15
Li 0.5000 0.5000 0.5000 [1 per cell]  4 P 3.05, 8 O 3.40
P 0.0000 0.0000 0.5000 [1 per cell]  2 Na 2.63
O 0.0000 0.5000 0.0000 [2 per cell]  2 Na 2.15

---

entry w takes first place; second place is 0.442 eV/atom up.

---

Entry w
Below is a relaxed Na5Li3Ti5O14 crystal, with properties calculated at the PBE level.

Properties
DOS(E_F)   0.00 states/eV per cell

a b c (Å): 5.2316 7.0284 8.1968
angles (deg): 88.57 78.36 82.36
With the nearest neighbours (Å) after each atom.
Space group P1 (No. 1)
Inequivalent atoms, fractional coordinates:
Na 0.0000 0.0000 0.0000 [1 per cell]  6 O 2.30-2.46
Na 0.1460 0.7108 0.6939 [1 per cell]  6 O 2.28-2.51
Na 0.3959 0.1467 0.1366 [1 per cell]  6 O 2.23-2.46
Na 0.5640 0.8677 0.8538 [1 per cell]  6 O 2.23-2.42
Na 0.8487 0.2715 0.2711 [1 per cell]  6 O 2.26-2.38
Li 0.2833 0.4368 0.4193 [1 per cell]  4 O 2.06-2.30
Li 0.3523 0.3010 0.7816 [1 per cell]  6 O 2.08-2.29
Li 0.7344 0.5586 0.5384 [1 per cell]  3 O 2.00-2.12
Ti 0.1845 0.5732 0.0840 [1 per cell]  5 O 1.88-2.02
Ti 0.5071 0.0158 0.4968 [1 per cell]  5 O 1.92-2.06
Ti 0.6111 0.7212 0.2294 [1 per cell]  3 O 1.84-1.94
Ti 0.7735 0.4303 0.9036 [1 per cell]  4 O 1.87-2.06
Ti 0.9402 0.1479 0.6237 [1 per cell]  5 O 1.87-2.07
O 0.0882 0.3291 0.0120 [1 per cell]  2 Ti 1.99-2.06, 1 Li 2.10
O 0.1817 0.1627 0.4230 [1 per cell]  2 Ti 1.87-2.06, 1 Li 2.06
O 0.2384 0.0222 0.7101 [1 per cell]  2 Ti 1.94-2.01
O 0.3303 0.8158 0.1137 [1 per cell]  2 Ti 1.94-2.00
O 0.4467 0.7190 0.4506 [1 per cell]  1 Ti 1.84, 1 Li 2.00
O 0.4633 0.5568 0.8480 [1 per cell]  1 Ti 1.88, 1 Li 2.08
O 0.5115 0.4587 0.1645 [1 per cell]  2 Ti 2.02-2.09, 1 Li 2.20
O 0.6127 0.2605 0.5334 [1 per cell]  2 Ti 1.92-2.06
O 0.6863 0.9758 0.2651 [1 per cell]  2 Ti 1.92-1.95
O 0.7012 0.1816 0.8706 [1 per cell]  1 Ti 1.87
O 0.7952 0.9149 0.5989 [1 per cell]  2 Ti 1.92-1.93
O 0.8867 0.6911 0.9853 [1 per cell]  2 Ti 1.98-2.16
O 0.9536 0.5750 0.2915 [1 per cell]  2 Ti 1.88-2.09
O 0.9847 0.4241 0.6838 [1 per cell]  2 Ti 1.91-2.07, 1 Li 2.07

---

Entry x
Below is a relaxed Na5Li3Ti5O14 crystal, with properties calculated at the PBE level.

Properties
DOS(E_F)   0.00 states/eV per cell

a b c (Å): 5.2396 7.0633 8.2643
angles (deg): 90.50 100.93 97.37
With the nearest neighbours (Å) after each atom.
Space group P1 (No. 1)
Inequivalent atoms, fractional coordinates:
Na 0.0000 0.0000 0.0000 [1 per cell]  6 O 2.29-2.50
Na 0.1321 0.3102 0.3171 [1 per cell]  6 O 2.29-2.48
Na 0.3986 0.8438 0.8471 [1 per cell]  6 O 2.29-2.50
Na 0.5611 0.1372 0.1440 [1 per cell]  6 O 2.30-2.39
Na 0.8426 0.7085 0.7130 [1 per cell]  6 O 2.28-2.47
Li 0.0532 0.1520 0.6444 [1 per cell]  5 O 2.05-2.18
Li 0.3417 0.7125 0.2145 [1 per cell]  6 O 2.09-2.27
Li 0.6559 0.4717 0.4140 [1 per cell]  4 O 2.06-2.20
Ti 0.1788 0.4262 0.9306 [1 per cell]  5 O 1.89-2.10
Ti 0.5044 0.9886 0.4971 [1 per cell]  5 O 1.88-2.05
Ti 0.6074 0.2826 0.7679 [1 per cell]  5 O 1.82-2.04
Ti 0.7577 0.5801 0.0869 [1 per cell]  4 O 1.85-2.04
Ti 0.9442 0.8592 0.3719 [1 per cell]  5 O 1.86-2.05
O 0.0866 0.6730 0.9813 [1 per cell]  2 Ti 1.93-2.11, 1 Li 2.12
O 0.1675 0.8836 0.5766 [1 per cell]  2 Ti 1.86-2.05
O 0.2391 0.9817 0.2853 [1 per cell]  2 Ti 1.93-2.01, 1 Li 2.15
O 0.3216 0.1797 0.8790 [1 per cell]  2 Ti 1.97-2.05, 1 Li 2.16
O 0.4326 0.2719 0.5543 [1 per cell]  1 Ti 1.82
O 0.4593 0.4505 0.1626 [1 per cell]  1 Ti 1.92, 2 Li 2.09-2.13
O 0.5296 0.5348 0.8568 [1 per cell]  3 Ti 2.04-2.10
O 0.6119 0.7520 0.4559 [1 per cell]  2 Ti 1.88-2.05, 1 Li 2.06
O 0.6917 0.8274 0.1213 [1 per cell]  1 Ti 1.85
O 0.7014 0.0269 0.7285 [1 per cell]  2 Ti 1.97-1.99, 1 Li 2.18
O 0.7959 0.1005 0.4035 [1 per cell]  2 Ti 1.93-2.00
O 0.8969 0.3121 0.0289 [1 per cell]  1 Ti 1.91
O 0.9482 0.4022 0.7229 [1 per cell]  2 Ti 1.89-1.98, 1 Li 2.05
O 0.9722 0.5976 0.3063 [1 per cell]  2 Ti 1.94-1.95, 1 Li 2.13

---

entry x takes first place; second place is 0.021 eV/atom up.